[1]
Compound: Pm3Sm4
Source: the Alexandria database
Functional: GGA-PBE
Structure: optimized geometry

The space group is Immm (No. 71) and the conventional cell measures 3.637, 5.143 and 25.449 Å, with angles of 90.00, 90.00 and 90.00 degrees. The asymmetric unit holds Pm at (0.000, 0.000, 0.000), Pm at (0.000, 0.000, 0.143), Sm at (0.000, 0.000, 0.286) and Sm at (0.000, 0.000, 0.429).

As for the formation energy from the elements: 1.2 kJ per mole of atoms.



[2]
Compound: CeZn2Pt
Source: the Alexandria database
Functional: GGA-PBE
Structure: optimized geometry

The space group is Fm-3m (No. 225) and the conventional cell measures 6.632, 6.632 and 6.632 Å, with angles of 90.00, 90.00 and 90.00 degrees. The asymmetric unit holds Ce at (0.000, 0.000, 0.000), Zn at (0.250, 0.250, 0.250) and Pt at (0.000, 0.000, 0.500).

As for the formation energy from the elements: -49.3 kJ per mole of atoms.



[3]
Compound: YCdMo4
Source: the Alexandria database
Functional: GGA-PBE
Structure: optimized geometry

The space group is F-43m (No. 216) and the conventional cell measures 7.693, 7.693 and 7.693 Å, with angles of 90.00, 90.00 and 90.00 degrees. The asymmetric unit holds Y at (0.000, 0.000, 0.000), Cd at (0.250, 0.250, 0.750) and Mo at (0.124, 0.124, 0.376).

As for the formation energy from the elements: 26.3 kJ per mole of atoms.



[4]
Compound: LiCa2CoNi
Source: the Alexandria database
Functional: GGA-PBE
Structure: optimized geometry

The space group is P4/mmm (No. 123) and the conventional cell measures 5.280, 5.280 and 4.470 Å, with angles of 90.00, 90.00 and 90.00 degrees. The asymmetric unit holds Li at (0.000, 0.000, 0.000), Ca at (0.000, 0.500, 0.500), Co at (0.500, 0.500, 0.000) and Ni at (0.000, 0.000, 0.500).

As for the formation energy from the elements: 51.0 kJ per mole of atoms.



[5]
Compound: InRhBr2
Source: the Alexandria database
Functional: GGA-PBE
Structure: optimized geometry

The space group is F-43m (No. 216) and the conventional cell measures 7.069, 7.069 and 7.069 Å, with angles of 90.00, 90.00 and 90.00 degrees. The asymmetric unit holds In at (0.000, 0.000, 0.000), Rh at (0.250, 0.250, 0.250), Br at (0.000, 0.000, 0.500) and Br at (0.250, 0.250, 0.750).

The energy relative to the lowest polymorph listed for this composition is 680 meV/atom. The calculation puts the formation energy from raw total energies at 0.404 eV/atom.



[6]
Compound: AcLaGd2
Source: the Alexandria database
Functional: GGA-PBE
Structure: optimized geometry

The space group is P4/mmm (No. 123) and the conventional cell measures 5.290, 5.290 and 5.219 Å, with angles of 90.00, 90.00 and 90.00 degrees. The asymmetric unit holds Ac at (0.000, 0.000, 0.000), La at (0.500, 0.500, 0.000) and Gd at (0.000, 0.500, 0.500).

As for the formation energy from the elements: 2.9 kJ per mole of atoms. The energy relative to the lowest polymorph listed for this composition is 0 meV/atom.



[7]
Compound: Ac4Rh2F
Source: the Alexandria database
Functional: GGA-PBE
Structure: optimized geometry

The space group is I4/mmm (No. 139) and the conventional cell measures 5.257, 5.257 and 15.088 Å, with angles of 90.00, 90.00 and 90.00 degrees. The asymmetric unit holds Ac at (0.000, 0.000, 0.205), Ac at (0.000, 0.500, 0.000), Rh at (0.000, 0.000, 0.390) and F at (0.000, 0.000, 0.000).

The calculation puts the formation energy from raw total energies at -0.997 eV/atom.



[8]
Compound: Cu2Ir
Source: the Alexandria database
Functional: GGA-PBE
Structure: optimized geometry

The space group is Imma (No. 74) and the conventional cell measures 2.496, 4.086 and 16.633 Å, with angles of 90.00, 90.00 and 90.00 degrees. The asymmetric unit holds Cu at (0.000, 0.250, 0.037), Cu at (0.000, 0.250, 0.185) and Ir at (0.000, 0.250, 0.615).

As for the formation energy from the elements: 33.3 kJ per mole of atoms. The energy relative to the lowest polymorph listed for this composition is 293 meV/atom.



[9]
Compound: LaPa2MnC4
Source: the Alexandria database
Functional: GGA-PBE
Structure: optimized geometry

The space group is Cmcm (No. 63) and the conventional cell measures 3.580, 11.842 and 12.039 Å, with angles of 90.00, 90.00 and 90.00 degrees. The asymmetric unit holds La at (0.000, 0.103, 0.250), Pa at (0.000, 0.367, 0.048), Mn at (0.000, 0.166, 0.750), C at (0.000, 0.000, 0.000), C at (0.000, 0.257, 0.625) and C at (0.000, 0.401, 0.250).

As for the formation energy from the elements: -20.1 kJ per mole of atoms.



[10]
Compound: AsOsRu2
Source: the Alexandria database
Functional: GGA-PBE
Structure: optimized geometry

The space group is I4/mmm (No. 139) and the conventional cell measures 3.873, 3.873 and 7.593 Å, with angles of 90.00, 90.00 and 90.00 degrees. The asymmetric unit holds As at (0.000, 0.000, 0.000), Os at (0.000, 0.000, 0.500) and Ru at (0.000, 0.500, 0.250).

As for the formation energy from the elements: 25.3 kJ per mole of atoms.



Number 1: uncorrected energy -66.1 eV for the cell shown. Number 2: uncorrected energy -66.3 eV for the cell shown. Number 3: uncorrected energy -196.3 eV for the cell shown. Number 4: uncorrected energy -16.2 eV for the cell shown. Number 5: uncorrected energy -47.3 eV for the cell shown. Number 6: uncorrected energy -37.1 eV for the cell shown. Number 7: uncorrected energy -80.0 eV for the cell shown. Number 8: uncorrected energy -64.1 eV for the cell shown. Number 9: uncorrected energy -286.6 eV for the cell shown. Number 10: uncorrected energy -66.8 eV for the cell shown.